# 1
DFT (PBEsol) results for a geometry-optimized CoReAg2 structure.

Energy above the most stable polymorph in this dataset in eV per formula unit: 1.64
Crystal system: tetragonal
V in Å³/f.u.: 58.1
Magnetization in μB per cell: 2.816
Final energy in eV/atom: -6.13
ΔH_f (0 K) in eV per atom: 0.795

a = 3.683 Å, b = 3.683 Å, c = 4.285 Å
α = 90.00°, β = 90.00°, γ = 90.00°
Fractional positions:
Co 0.000 0.000 0.000
Re 0.500 0.500 0.000
Ag 0.000 0.500 0.500
Ag 0.500 0.000 0.500


# 2
DFT (PBEsol) results for a geometry-optimized CoReAg2 structure.

Energy above the most stable polymorph in this dataset in eV per formula unit: 0.60
Crystal system: trigonal
V in Å³/f.u.: 58.2
Magnetization in μB per cell: 1.835
Final energy in eV/atom: -6.39
ΔH_f (0 K) in eV per atom: 0.536

a = 9.339 Å, b = 9.339 Å, c = 9.339 Å
α = 16.63°, β = 16.63°, γ = 16.63°
Fractional positions:
Co 0.000 0.000 0.000
Re 0.500 0.500 0.500
Ag 0.254 0.254 0.254
Ag 0.746 0.746 0.746


# 3
DFT (PBEsol) results for a geometry-optimized CoReAg2 structure.

Energy above the most stable polymorph in this dataset in eV per formula unit: 0.00
Crystal system: orthorhombic
V in Å³/f.u.: 58.6
Magnetization in μB per cell: 1.270
Final energy in eV/atom: -6.54
ΔH_f (0 K) in eV per atom: 0.385

a = 2.653 Å, b = 2.653 Å, c = 9.066 Å
α = 90.00°, β = 90.00°, γ = 113.39°
Fractional positions:
Co 0.000 0.000 0.000
Re 0.500 0.500 0.786
Ag 0.000 0.000 0.514
Ag 0.500 0.500 0.246


Question: magnetization of number 3 (CoReAg2)?
Answer: 1.270 μB per cell